{"formula": "CsLi2Ce2S6", "functional": "PBE-GGA", "state": "relaxed", "lattice": [[6.798, 0.000, 0.000], [0.028, 7.275, 0.000], [0.023, 3.637, 6.301]], "species": ["Cs", "Li", "Li", "Ce", "Ce", "S", "S", "S", "S", "S", "S"], "frac_coords": [[0.000, 0.000, 0.000], [0.500, 0.333, 0.333], [0.500, 0.667, 0.667], [0.000, 0.333, 0.333], [0.000, 0.667, 0.667], [0.250, 0.496, 0.503], [0.250, 0.502, 0.000], [0.250, 0.999, 0.497], [0.750, 0.001, 0.503], [0.750, 0.498, 0.000], [0.750, 0.504, 0.497]], "dos_ef_per_ev_atom": 0.56, "formation_energy_uncorrected_ev_per_atom": -1.36, "density_g_cm3": 3.300}


{"formula": "CsLiCe4S8", "functional": "PBE-GGA", "state": "relaxed", "lattice": [[4.294, 2.479, 6.794], [-4.294, 2.479, 6.794], [0.000, -4.958, 6.794]], "species": ["Cs", "Li", "Ce", "Ce", "Ce", "Ce", "S", "S", "S", "S", "S", "S", "S", "S"], "frac_coords": [[0.000, 0.000, 0.000], [0.641, 0.641, 0.641], [0.105, 0.619, 0.619], [0.232, 0.232, 0.232], [0.619, 0.105, 0.619], [0.619, 0.619, 0.105], [0.358, 0.358, 0.843], [0.358, 0.843, 0.358], [0.372, 0.372, 0.372], [0.441, 0.843, 0.843], [0.843, 0.358, 0.358], [0.843, 0.441, 0.843], [0.843, 0.843, 0.441], [0.846, 0.846, 0.846]], "dos_ef_per_ev_atom": 1.31, "formation_energy_uncorrected_ev_per_atom": -1.63, "density_g_cm3": 3.662}


{"formula": "CsLiCeSe3", "functional": "PBE-GGA", "state": "relaxed", "lattice": [[9.600, 0.000, 0.000], [0.000, 4.373, 0.000], [-3.381, 0.000, 9.481]], "species": ["Cs", "Cs", "Li", "Li", "Ce", "Ce", "Se", "Se", "Se", "Se", "Se", "Se"], "frac_coords": [[0.214, 0.250, 0.259], [0.786, 0.750, 0.741], [0.081, 0.250, 0.597], [0.919, 0.750, 0.403], [0.320, 0.750, 0.846], [0.680, 0.250, 0.154], [0.135, 0.250, 0.866], [0.198, 0.750, 0.553], [0.476, 0.750, 0.150], [0.524, 0.250, 0.850], [0.802, 0.250, 0.447], [0.865, 0.750, 0.134]], "formation_energy_uncorrected_ev_per_atom": -1.51, "density_g_cm3": 4.313}


{"formula": "CsLiCe2Se4", "functional": "PBE-GGA", "state": "relaxed", "lattice": [[2.191, -7.396, 0.000], [2.191, 7.396, 0.000], [0.000, 0.000, 15.034]], "species": ["Cs", "Cs", "Li", "Li", "Ce", "Ce", "Ce", "Ce", "Se", "Se", "Se", "Se", "Se", "Se", "Se", "Se"], "frac_coords": [[0.106, 0.894, 0.750], [0.894, 0.106, 0.250], [0.170, 0.830, 0.250], [0.830, 0.170, 0.750], [0.368, 0.632, 0.559], [0.368, 0.632, 0.941], [0.632, 0.368, 0.059], [0.632, 0.368, 0.441], [0.000, 0.000, 0.000], [0.000, 0.000, 0.500], [0.258, 0.742, 0.105], [0.258, 0.742, 0.395], [0.416, 0.584, 0.750], [0.584, 0.416, 0.250], [0.742, 0.258, 0.605], [0.742, 0.258, 0.895]], "dos_ef_per_ev_atom": 1.60, "formation_energy_uncorrected_ev_per_atom": -1.65, "density_g_cm3": 5.016}


{"formula": "Cs2LiCe2Se6", "functional": "PBE-GGA", "state": "relaxed", "lattice": [[3.666, -6.382, 0.000], [3.666, 6.382, 0.000], [-2.305, 0.000, 8.503]], "species": ["Cs", "Cs", "Li", "Ce", "Ce", "Se", "Se", "Se", "Se", "Se", "Se"], "frac_coords": [[0.161, 0.839, 0.000], [0.839, 0.161, 0.000], [0.000, 0.000, 0.500], [0.334, 0.666, 0.500], [0.666, 0.334, 0.500], [0.057, 0.402, 0.681], [0.281, 0.281, 0.322], [0.402, 0.057, 0.681], [0.598, 0.943, 0.319], [0.719, 0.719, 0.678], [0.943, 0.598, 0.319]], "dos_ef_per_ev_atom": 1.75, "formation_energy_uncorrected_ev_per_atom": -1.34, "density_g_cm3": 4.285}


{"formula": "Cs3LiCe2Se6", "functional": "PBE-GGA", "state": "relaxed", "lattice": [[3.761, -6.526, 0.000], [3.761, 6.526, 0.000], [-2.472, 0.000, 8.279]], "species": ["Cs", "Cs", "Cs", "Li", "Ce", "Ce", "Se", "Se", "Se", "Se", "Se", "Se"], "frac_coords": [[0.000, 0.000, 0.000], [0.341, 0.659, 0.000], [0.659, 0.341, 0.000], [0.500, 0.500, 0.500], [0.167, 0.833, 0.500], [0.833, 0.167, 0.500], [0.089, 0.439, 0.314], [0.214, 0.214, 0.680], [0.439, 0.089, 0.314], [0.561, 0.911, 0.686], [0.786, 0.786, 0.320], [0.911, 0.561, 0.686]], "formation_energy_uncorrected_ev_per_atom": -1.47, "density_g_cm3": 4.738}


{"formula": "CsLiCe2Te4", "functional": "PBE-GGA", "state": "relaxed", "lattice": [[2.336, -7.878, 0.000], [2.336, 7.878, 0.000], [0.000, 0.000, 16.126]], "species": ["Cs", "Cs", "Li", "Li", "Ce", "Ce", "Ce", "Ce", "Te", "Te", "Te", "Te", "Te", "Te", "Te", "Te"], "frac_coords": [[0.110, 0.890, 0.750], [0.890, 0.110, 0.250], [0.167, 0.833, 0.250], [0.833, 0.167, 0.750], [0.368, 0.632, 0.560], [0.368, 0.632, 0.940], [0.632, 0.368, 0.060], [0.632, 0.368, 0.440], [0.000, 0.000, 0.000], [0.000, 0.000, 0.500], [0.261, 0.739, 0.107], [0.261, 0.739, 0.393], [0.422, 0.578, 0.750], [0.578, 0.422, 0.250], [0.739, 0.261, 0.607], [0.739, 0.261, 0.893]], "dos_ef_per_ev_atom": 1.70, "formation_energy_uncorrected_ev_per_atom": -1.30, "density_g_cm3": 5.207}


{"formula": "CsCeMg14", "functional": "PBE-GGA", "state": "relaxed", "lattice": [[6.774, 0.000, 0.000], [-3.387, 5.867, 0.000], [0.000, 0.000, 10.657]], "species": ["Cs", "Ce", "Mg", "Mg", "Mg", "Mg", "Mg", "Mg", "Mg", "Mg", "Mg", "Mg", "Mg", "Mg", "Mg", "Mg"], "frac_coords": [[0.000, 0.000, 0.000], [0.000, 0.000, 0.500], [0.005, 0.502, 0.500], [0.007, 0.504, 0.000], [0.175, 0.350, 0.261], [0.175, 0.350, 0.739], [0.175, 0.825, 0.261], [0.175, 0.825, 0.739], [0.496, 0.504, 0.000], [0.496, 0.993, 0.000], [0.498, 0.502, 0.500], [0.498, 0.995, 0.500], [0.650, 0.825, 0.261], [0.650, 0.825, 0.739], [0.667, 0.333, 0.252], [0.667, 0.333, 0.748]], "delta_e_f_ev_per_fu": 2.742, "dos_ef_per_ev_atom": 0.84, "density_g_cm3": 2.405}


{"formula": "CsCeMg14", "functional": "PBE-GGA", "state": "relaxed", "lattice": [[10.837, 0.000, 0.000], [0.000, 3.400, 5.584], [0.000, -3.400, 5.584]], "species": ["Cs", "Ce", "Mg", "Mg", "Mg", "Mg", "Mg", "Mg", "Mg", "Mg", "Mg", "Mg", "Mg", "Mg", "Mg", "Mg"], "frac_coords": [[0.000, 0.000, 0.000], [0.000, 0.495, 0.495], [0.000, 0.502, 0.995], [0.000, 0.995, 0.502], [0.249, 0.248, 0.248], [0.249, 0.729, 0.729], [0.278, 0.240, 0.734], [0.278, 0.734, 0.240], [0.500, 0.405, 0.405], [0.500, 0.410, 0.918], [0.500, 0.902, 0.902], [0.500, 0.918, 0.410], [0.722, 0.240, 0.734], [0.722, 0.734, 0.240], [0.751, 0.248, 0.248], [0.751, 0.729, 0.729]], "delta_e_f_ev_per_fu": 2.766, "dos_ef_per_ev_atom": 0.91, "density_g_cm3": 2.475}


{"formula": "Cs3Ce3MgO8", "functional": "PBE-GGA", "state": "relaxed", "lattice": [[3.551, 2.050, 6.924], [-3.551, 2.050, 6.924], [0.000, -4.100, 6.924]], "species": ["Cs", "Cs", "Cs", "Ce", "Ce", "Ce", "Mg", "O", "O", "O", "O", "O", "O", "O", "O"], "frac_coords": [[0.000, 0.500, 0.500], [0.500, 0.000, 0.500], [0.500, 0.500, 0.000], [0.000, 0.000, 0.500], [0.000, 0.500, 0.000], [0.500, 0.000, 0.000], [0.500, 0.500, 0.500], [0.220, 0.716, 0.716], [0.222, 0.222, 0.222], [0.284, 0.284, 0.780], [0.284, 0.780, 0.284], [0.716, 0.220, 0.716], [0.716, 0.716, 0.220], [0.778, 0.778, 0.778], [0.780, 0.284, 0.284]], "dos_ef_per_ev_atom": 0.47, "formation_energy_uncorrected_ev_per_atom": -2.60, "density_g_cm3": 5.333}


{"formula": "CsCeMg6O8", "functional": "PBE-GGA", "state": "relaxed", "lattice": [[4.828, 0.000, 0.000], [0.000, 4.828, 0.000], [0.000, 0.000, 9.221]], "species": ["Cs", "Ce", "Mg", "Mg", "Mg", "Mg", "Mg", "Mg", "O", "O", "O", "O", "O", "O", "O", "O"], "frac_coords": [[0.000, 0.000, 0.000], [0.500, 0.500, 0.000], [0.000, 0.000, 0.500], [0.000, 0.500, 0.281], [0.000, 0.500, 0.719], [0.500, 0.000, 0.281], [0.500, 0.000, 0.719], [0.500, 0.500, 0.500], [0.000, 0.000, 0.292], [0.000, 0.000, 0.708], [0.000, 0.500, 0.000], [0.000, 0.500, 0.500], [0.500, 0.000, 0.000], [0.500, 0.000, 0.500], [0.500, 0.500, 0.269], [0.500, 0.500, 0.731]], "dos_ef_per_ev_atom": 0.27, "formation_energy_uncorrected_ev_per_atom": -2.07, "density_g_cm3": 4.224}


{"formula": "Cs4Ce3MgS8", "functional": "PBE-GGA", "state": "relaxed", "lattice": [[4.185, 2.416, 8.029], [-4.185, 2.416, 8.029], [0.000, -4.832, 8.029]], "species": ["Cs", "Cs", "Cs", "Cs", "Ce", "Ce", "Ce", "Mg", "S", "S", "S", "S", "S", "S", "S", "S"], "frac_coords": [[0.000, 0.000, 0.000], [0.000, 0.500, 0.500], [0.500, 0.000, 0.500], [0.500, 0.500, 0.000], [0.000, 0.000, 0.500], [0.000, 0.500, 0.000], [0.500, 0.000, 0.000], [0.500, 0.500, 0.500], [0.229, 0.229, 0.229], [0.231, 0.724, 0.724], [0.276, 0.276, 0.769], [0.276, 0.769, 0.276], [0.724, 0.231, 0.724], [0.724, 0.724, 0.231], [0.769, 0.276, 0.276], [0.771, 0.771, 0.771]], "dos_ef_per_ev_atom": 0.80, "formation_energy_uncorrected_ev_per_atom": -1.63, "density_g_cm3": 4.202}


{"formula": "Cs3Ce2MgS6", "functional": "PBE-GGA", "state": "relaxed", "lattice": [[3.591, -6.220, 0.000], [3.591, 6.220, 0.000], [-2.389, 0.000, 8.018]], "species": ["Cs", "Cs", "Cs", "Ce", "Ce", "Mg", "S", "S", "S", "S", "S", "S"], "frac_coords": [[0.000, 0.000, 0.000], [0.335, 0.665, 0.000], [0.665, 0.335, 0.000], [0.167, 0.833, 0.500], [0.833, 0.167, 0.500], [0.500, 0.500, 0.500], [0.112, 0.440, 0.320], [0.232, 0.232, 0.679], [0.440, 0.112, 0.320], [0.560, 0.888, 0.680], [0.768, 0.768, 0.321], [0.888, 0.560, 0.680]], "dos_ef_per_ev_atom": 0.50, "formation_energy_uncorrected_ev_per_atom": -1.59, "density_g_cm3": 4.152}


{"formula": "CsCeMgS4", "functional": "PBE-GGA", "state": "relaxed", "lattice": [[7.228, 0.000, 0.000], [0.000, 5.481, 0.000], [-2.844, 0.000, 9.780]], "species": ["Cs", "Cs", "Ce", "Ce", "Mg", "Mg", "S", "S", "S", "S", "S", "S", "S", "S"], "frac_coords": [[0.246, 0.250, 0.030], [0.754, 0.750, 0.970], [0.263, 0.250, 0.563], [0.737, 0.750, 0.437], [0.262, 0.750, 0.329], [0.738, 0.250, 0.671], [0.009, 0.524, 0.684], [0.009, 0.976, 0.684], [0.433, 0.750, 0.570], [0.476, 0.750, 0.190], [0.524, 0.250, 0.810], [0.567, 0.250, 0.430], [0.991, 0.024, 0.316], [0.991, 0.476, 0.316]], "dos_ef_per_ev_atom": 0.42, "formation_energy_uncorrected_ev_per_atom": -1.35, "density_g_cm3": 3.648}


{"formula": "CsCeMgS3", "functional": "PBE-GGA", "state": "relaxed", "lattice": [[9.473, 0.000, 0.000], [0.000, 4.267, 0.000], [-3.182, 0.000, 9.624]], "species": ["Cs", "Cs", "Ce", "Ce", "Mg", "Mg", "S", "S", "S", "S", "S", "S"], "frac_coords": [[0.206, 0.250, 0.230], [0.794, 0.750, 0.770], [0.335, 0.750, 0.860], [0.665, 0.250, 0.140], [0.084, 0.250, 0.608], [0.916, 0.750, 0.392], [0.129, 0.250, 0.855], [0.180, 0.750, 0.543], [0.470, 0.750, 0.147], [0.530, 0.250, 0.853], [0.820, 0.250, 0.457], [0.871, 0.750, 0.145]], "dos_ef_per_ev_atom": 0.99, "formation_energy_uncorrected_ev_per_atom": -1.62, "density_g_cm3": 3.359}


{"formula": "Cs2Ce2MgS6", "functional": "PBE-GGA", "state": "relaxed", "lattice": [[3.494, -6.063, 0.000], [3.494, 6.063, 0.000], [-2.271, 0.000, 8.195]], "species": ["Cs", "Cs", "Ce", "Ce", "Mg", "S", "S", "S", "S", "S", "S"], "frac_coords": [[0.164, 0.836, 0.000], [0.836, 0.164, 0.000], [0.334, 0.666, 0.500], [0.666, 0.334, 0.500], [0.000, 0.000, 0.500], [0.056, 0.389, 0.675], [0.269, 0.269, 0.328], [0.389, 0.056, 0.675], [0.611, 0.944, 0.325], [0.731, 0.731, 0.672], [0.944, 0.611, 0.325]], "formation_energy_uncorrected_ev_per_atom": -1.59, "density_g_cm3": 3.648}


{"formula": "CsCeMgSe4", "functional": "PBE-GGA", "state": "relaxed", "lattice": [[7.539, 0.000, 0.000], [0.000, 5.820, 0.000], [-2.980, 0.000, 10.014]], "species": ["Cs", "Cs", "Ce", "Ce", "Mg", "Mg", "Se", "Se", "Se", "Se", "Se", "Se", "Se", "Se"], "frac_coords": [[0.244, 0.250, 0.038], [0.756, 0.750, 0.962], [0.261, 0.250, 0.559], [0.739, 0.750, 0.441], [0.270, 0.750, 0.331], [0.730, 0.250, 0.669], [0.012, 0.514, 0.690], [0.012, 0.986, 0.690], [0.440, 0.750, 0.580], [0.480, 0.750, 0.184], [0.520, 0.250, 0.816], [0.560, 0.250, 0.420], [0.988, 0.014, 0.310], [0.988, 0.486, 0.310]], "dos_ef_per_ev_atom": 0.42, "formation_energy_uncorrected_ev_per_atom": -1.30, "density_g_cm3": 4.635}


{"formula": "Cs3Ce2MgTe6", "functional": "PBE-GGA", "state": "relaxed", "lattice": [[3.996, -6.920, 0.000], [3.996, 6.920, 0.000], [-2.667, 0.000, 8.866]], "species": ["Cs", "Cs", "Cs", "Ce", "Ce", "Mg", "Te", "Te", "Te", "Te", "Te", "Te"], "frac_coords": [[0.000, 0.000, 0.000], [0.332, 0.668, 0.000], [0.668, 0.332, 0.000], [0.167, 0.833, 0.500], [0.833, 0.167, 0.500], [0.500, 0.500, 0.500], [0.111, 0.438, 0.313], [0.236, 0.236, 0.688], [0.438, 0.111, 0.313], [0.562, 0.889, 0.687], [0.764, 0.764, 0.312], [0.889, 0.562, 0.687]], "dos_ef_per_ev_atom": 0.50, "formation_energy_uncorrected_ev_per_atom": -1.19, "density_g_cm3": 4.974}


{"formula": "CsCeMgTe3", "functional": "PBE-GGA", "state": "relaxed", "lattice": [[10.368, 0.000, 0.000], [0.000, 4.680, 0.000], [-3.727, 0.000, 10.524]], "species": ["Cs", "Cs", "Ce", "Ce", "Mg", "Mg", "Te", "Te", "Te", "Te", "Te", "Te"], "frac_coords": [[0.214, 0.250, 0.240], [0.786, 0.750, 0.760], [0.328, 0.750, 0.863], [0.672, 0.250, 0.137], [0.084, 0.250, 0.609], [0.916, 0.750, 0.391], [0.115, 0.250, 0.865], [0.201, 0.750, 0.541], [0.473, 0.750, 0.160], [0.527, 0.250, 0.840], [0.799, 0.250, 0.459], [0.885, 0.750, 0.135]], "dos_ef_per_ev_atom": 1.06, "formation_energy_uncorrected_ev_per_atom": -1.19, "density_g_cm3": 4.423}